1.
# PrPaTeO6 PBE relaxed
# Spin magnetization ... 0.00 Bohr magnetons per cell
# E_tot ... -7.849 eV per atom
# ρ ... 6.76 Mg/m³
# V ... 292.7 Å³/cell
# Density of states at the Fermi level ... 0.000 states/eV/atom
data_PrPaTeO6
_chemical_formula_sum 'Pr2 Pa2 Te2 O12'
_symmetry_space_group_name_H-M 'P -3 1 c'
_symmetry_Int_Tables_number 163
_symmetry_space_group_name_Hall '-P 3 2c'
_cell_length_a 5.8205
_cell_length_b 5.8205
_cell_length_c 9.9769
_cell_angle_alpha 90.00
_cell_angle_beta 90.00
_cell_angle_gamma 120.00
loop_
_atom_site_label
_atom_site_fract_x
_atom_site_fract_y
_atom_site_fract_z
Pr1 0.0000 0.0000 0.0000
Pa1 0.3333 0.6667 0.2500
Te1 0.3333 0.6667 0.7500
O1 0.0005 0.3500 0.1381

---

2.
# PrPaTl2O6 PBE relaxed
# Spin magnetization ... 0.00 Bohr magnetons per cell
# E_tot ... -7.095 eV per atom
# ρ ... 8.63 Mg/m³
# V ... 337.5 Å³/cell
# Density of states at the Fermi level ... 0.440 states/eV/atom
data_PrPaTl2O6
_chemical_formula_sum 'Pr2 Pa2 Tl4 O12'
_symmetry_space_group_name_H-M 'C 1 2/m 1'
_symmetry_Int_Tables_number 12
_symmetry_space_group_name_Hall '-C 2y'
_cell_length_a 10.534
_cell_length_b 6.385
_cell_length_c 6.110
_cell_angle_alpha 90.00
_cell_angle_beta 124.79
_cell_angle_gamma 90.00
loop_
_atom_site_label
_atom_site_fract_x
_atom_site_fract_y
_atom_site_fract_z
Pr1 0.000 0.000 0.000
Pa1 0.000 0.500 0.500
Tl1 0.248 0.000 0.717
O1 0.078 0.257 0.343
O2 0.233 0.500 0.869

---

3.
# PrTmPaO6 PBE relaxed
# Spin magnetization ... 0.77 Bohr magnetons per cell
# E_tot ... -8.546 eV per atom
# ρ ... 7.53 Mg/m³
# V ... 140.4 Å³/cell
# Density of states at the Fermi level ... 0.869 states/eV/atom
data_PrTmPaO6
_chemical_formula_sum 'Pr1 Tm1 Pa1 O6'
_symmetry_space_group_name_H-M 'P 3 1 2'
_symmetry_Int_Tables_number 149
_symmetry_space_group_name_Hall 'P 3 2'
_cell_length_a 5.8755
_cell_length_b 5.8755
_cell_length_c 4.6974
_cell_angle_alpha 90.00
_cell_angle_beta 90.00
_cell_angle_gamma 120.00
loop_
_atom_site_label
_atom_site_fract_x
_atom_site_fract_y
_atom_site_fract_z
Pr1 0.0000 0.0000 0.0000
Tm1 0.3333 0.6667 0.0000
Pa1 0.6667 0.3333 0.5000
O1 0.3616 0.0093 0.2463

---

Question: Which of these has the lowest ρ?
Answer: PrPaTeO6

---

Question: What is the formula in the second record?
Answer: PrPaTl2O6

---

Question: Which value of spin magnetization does entry 1 give?
Answer: 0.00 Bohr magnetons per cell